The following is a DFT calculation (PBE) of an optimized crystal structure of Li2HfCdIn2Pd2.

Cell and atoms, written as extended XYZ:
```
8
Lattice="4.642 0.000 0.000 0.000 4.642 0.000 0.000 0.000 6.518" Properties=species:S:1:pos:R:3 pbc="T T T"
Li 0.000 2.321 1.472
Li 2.321 0.000 5.046
Hf 0.000 0.000 3.259
Cd 2.321 2.321 0.000
In 0.000 0.000 0.000
In 2.321 2.321 3.259
Pd 0.000 2.321 4.776
Pd 2.321 0.000 1.742
```

Properties
Symmetry: P-4m2, No. 115
Density in Mg/m³: 8.8
Total magnetization in μB/atom: 0.001
Electronic total energy in eV per cell: -34.2


The following is a DFT calculation (PBE) of an optimized crystal structure of HfCdInNi.

Cell and atoms, written as extended XYZ:
```
4
Lattice="0.000 3.325 3.325 3.325 0.000 3.325 3.325 3.325 0.000" Properties=species:S:1:pos:R:3 pbc="T T T"
Hf 0.000 0.000 0.000
Cd 4.988 4.988 4.988
In 1.663 1.663 1.663
Ni 3.325 3.325 3.325
```

Properties
Symmetry: F-43m, No. 216
Density in Mg/m³: 10.5
Total magnetization in μB/atom: 0.004
Electronic total energy in eV per cell: -18.8


The following is a DFT calculation (PBE) of an optimized crystal structure of La2Hf3Cd2.

Cell and atoms, written as extended XYZ:
```
7
Lattice="2.611 1.507 7.768 -2.611 1.507 7.768 0.000 -3.014 7.768" Properties=species:S:1:pos:R:3 pbc="T T T"
La 0.000 0.000 0.000
La 0.000 0.000 10.289
Hf 0.000 0.000 6.173
Hf 0.000 0.000 13.703
Hf 0.000 0.000 20.178
Cd 0.000 0.000 3.365
Cd 0.000 0.000 16.868
```

Properties
Symmetry: R3m, No. 160
Density in Mg/m³: 9.4
Total magnetization in μB/atom: 0.001
Electronic total energy in eV per cell: -41.5
Calculated formation energy in eV per atom: 0.005


The following is a DFT calculation (PBE) of an optimized crystal structure of LiHfCd.

Cell and atoms, written as extended XYZ:
```
3
Lattice="0.000 3.237 3.237 3.237 0.000 3.237 3.237 3.237 0.000" Properties=species:S:1:pos:R:3 pbc="T T T"
Li 0.000 0.000 0.000
Hf 3.237 3.237 3.237
Cd 4.855 4.855 4.855
```

Properties
Symmetry: F-43m, No. 216
Density in Mg/m³: 7.3
Total magnetization in μB/atom: 0.278
Electronic total energy in eV per cell: -11.0


The following is a DFT calculation (PBE) of an optimized crystal structure of LiHfCd4.

Cell and atoms, written as extended XYZ:
```
6
Lattice="3.377 0.000 0.000 0.000 3.377 0.000 0.000 0.000 10.140" Properties=species:S:1:pos:R:3 pbc="T T T"
Li 0.000 0.000 0.000
Hf 1.689 1.689 5.070
Cd 0.000 0.000 3.205
Cd 0.000 0.000 6.935
Cd 1.689 1.689 1.465
Cd 1.689 1.689 8.675
```

Properties
Symmetry: P4/mmm, No. 123
Density in Mg/m³: 9.1
Total magnetization in μB/atom: 0.001
Electronic total energy in eV per cell: -15.8


The following is a DFT calculation (PBE) of an optimized crystal structure of LiHf2Cd.

Cell and atoms, written as extended XYZ:
```
4
Lattice="0.000 3.446 3.446 3.446 0.000 3.446 3.446 3.446 0.000" Properties=species:S:1:pos:R:3 pbc="T T T"
Li 0.000 0.000 0.000
Hf 3.446 3.446 3.446
Hf 5.169 5.169 5.169
Cd 1.723 1.723 1.723
```

Properties
Symmetry: F-43m, No. 216
Density in Mg/m³: 9.7
Total magnetization in μB/atom: 0.231
Electronic total energy in eV per cell: -21.2


The following is a DFT calculation (PBE) of an optimized crystal structure of LiHfCd.

Cell and atoms, written as extended XYZ:
```
3
Lattice="0.000 3.272 3.272 3.272 0.000 3.272 3.272 3.272 0.000" Properties=species:S:1:pos:R:3 pbc="T T T"
Li 0.000 0.000 0.000
Hf 4.908 4.908 4.908
Cd 3.272 3.272 3.272
```

Properties
Symmetry: F-43m, No. 216
Density in Mg/m³: 7.1
Total magnetization in μB/atom: 0.015
Electronic total energy in eV per cell: -10.3


The following is a DFT calculation (PBE) of an optimized crystal structure of Li2HfCd.

Cell and atoms, written as extended XYZ:
```
4
Lattice="0.000 3.292 3.292 3.292 0.000 3.292 3.292 3.292 0.000" Properties=species:S:1:pos:R:3 pbc="T T T"
Li 0.000 0.000 0.000
Li 1.646 1.646 1.646
Hf 4.938 4.938 4.938
Cd 3.292 3.292 3.292
```

Properties
Symmetry: F-43m, No. 216
Density in Mg/m³: 7.1
Total magnetization in μB/atom: 0.000
Electronic total energy in eV per cell: -14.0


The following is a DFT calculation (PBE) of an optimized crystal structure of LuHfCd.

Cell and atoms, written as extended XYZ:
```
3
Lattice="0.000 3.481 3.481 3.481 0.000 3.481 3.481 3.481 0.000" Properties=species:S:1:pos:R:3 pbc="T T T"
Lu 0.000 0.000 0.000
Hf 5.222 5.222 5.222
Cd 3.481 3.481 3.481
```

Properties
Symmetry: F-43m, No. 216
Density in Mg/m³: 9.2
Total magnetization in μB/atom: 0.006
Electronic total energy in eV per cell: -13.1
Calculated formation energy in eV per atom: 0.756


The following is a DFT calculation (PBE) of an optimized crystal structure of Lu2HfCd.

Cell and atoms, written as extended XYZ:
```
4
Lattice="0.000 3.653 3.653 3.653 0.000 3.653 3.653 3.653 0.000" Properties=species:S:1:pos:R:3 pbc="T T T"
Lu 0.000 0.000 0.000
Lu 1.827 1.827 1.827
Hf 5.480 5.480 5.480
Cd 3.653 3.653 3.653
```

Properties
Symmetry: F-43m, No. 216
Density in Mg/m³: 10.9
Total magnetization in μB/atom: 0.369
Electronic total energy in eV per cell: -19.3
Calculated formation energy in eV per atom: 0.154


The following is a DFT calculation (PBE) of an optimized crystal structure of Lu2Hf4Cd3N3.

Cell and atoms, written as extended XYZ:
```
24
Lattice="4.960 -2.866 0.000 4.960 2.866 0.000 -3.342 0.000 14.774" Properties=species:S:1:pos:R:3 pbc="T T T"
Lu 2.482 2.401 8.843
Lu 2.424 2.401 13.318
Lu 4.153 -2.401 1.456
Lu 4.095 -2.401 5.931
Hf 2.448 0.464 1.145
Hf 2.467 0.512 6.242
Hf 0.777 -0.464 8.532
Hf 0.795 -0.512 13.629
Hf 5.781 0.512 1.145
Hf 5.800 0.464 6.242
Hf 4.110 -0.512 8.532
Hf 4.129 -0.464 13.629
Cd -0.392 0.745 11.087
Cd 1.280 -0.745 3.700
Cd 4.124 0.060 3.694
Cd 2.453 -0.060 11.081
Cd 5.297 0.745 11.075
Cd 6.968 -0.745 3.687
N 0.809 1.433 7.387
N 4.135 1.436 0.000
N 4.113 1.436 7.387
N 2.480 -1.433 0.000
N 2.464 -1.436 7.387
N 5.784 -1.436 0.000
```

Properties
Symmetry: C2/c, No. 15
Density in Mg/m³: 11.4
Total magnetization in μB/atom: 0.000
Electronic total energy in eV per cell: -176.8


The following is a DFT calculation (PBE) of an optimized crystal structure of Lu4Hf2Cd3N3.

Cell and atoms, written as extended XYZ:
```
24
Lattice="5.020 -2.900 0.000 5.020 2.900 0.000 -3.405 0.000 15.174" Properties=species:S:1:pos:R:3 pbc="T T T"
Lu 0.838 0.447 1.340
Lu 0.775 0.508 6.247
Lu -0.864 -0.447 8.927
Lu -0.927 -0.508 13.834
Lu 7.561 0.508 1.340
Lu 7.498 0.447 6.247
Lu 5.859 -0.508 8.927
Lu 5.796 -0.447 13.834
Hf 4.149 0.501 1.142
Hf 4.187 0.501 6.445
Hf 2.447 -0.501 8.729
Hf 2.485 -0.501 14.032
Cd 4.168 2.235 3.794
Cd 0.958 0.377 11.404
Cd 2.661 -0.377 3.817
Cd 3.974 0.377 11.357
Cd 5.676 -0.377 3.770
Cd 2.466 -2.235 11.381
N 2.510 1.450 0.000
N 2.512 1.396 7.587
N 5.825 1.396 0.000
N 0.807 -1.450 7.587
N 4.214 -1.396 0.000
N 4.122 -1.396 7.587
```

Properties
Symmetry: C2/c, No. 15
Density in Mg/m³: 10.8
Total magnetization in μB/atom: 0.000
Electronic total energy in eV per cell: -154.5


The following is a DFT calculation (PBE) of an optimized crystal structure of HfMgCd2.

Cell and atoms, written as extended XYZ:
```
4
Lattice="0.000 3.462 3.462 3.462 0.000 3.462 3.462 3.462 0.000" Properties=species:S:1:pos:R:3 pbc="T T T"
Hf 0.000 0.000 0.000
Mg 5.193 5.193 5.193
Cd 1.731 1.731 1.731
Cd 3.462 3.462 3.462
```

Properties
Symmetry: F-43m, No. 216
Density in Mg/m³: 8.6
Total magnetization in μB/atom: 0.002
Electronic total energy in eV per cell: -12.7


The following is a DFT calculation (PBE) of an optimized crystal structure of Hf2MgCd.

Cell and atoms, written as extended XYZ:
```
4
Lattice="3.096 0.000 0.000 0.000 3.096 0.000 0.000 0.000 9.059" Properties=species:S:1:pos:R:3 pbc="T T T"
Hf 0.000 0.000 0.000
Hf 1.548 1.548 2.140
Mg 1.548 1.548 6.620
Cd 0.000 0.000 4.456
```

Properties
Symmetry: P4mm, No. 99
Density in Mg/m³: 9.4
Total magnetization in μB/atom: 0.000
Electronic total energy in eV per cell: -22.6


The following is a DFT calculation (PBE) of an optimized crystal structure of Hf2MgCd.

Cell and atoms, written as extended XYZ:
```
4
Lattice="0.000 3.524 3.524 3.524 0.000 3.524 3.524 3.524 0.000" Properties=species:S:1:pos:R:3 pbc="T T T"
Hf 0.000 0.000 0.000
Hf 1.762 1.762 1.762
Mg 3.524 3.524 3.524
Cd 5.287 5.287 5.287
```

Properties
Symmetry: F-43m, No. 216
Density in Mg/m³: 9.4
Total magnetization in μB/atom: 0.458
Electronic total energy in eV per cell: -21.1


The following is a DFT calculation (PBE) of an optimized crystal structure of Hf3Mg2Cd2.

Cell and atoms, written as extended XYZ:
```
7
Lattice="2.227 -10.646 0.000 2.227 10.646 0.000 0.000 0.000 3.088" Properties=species:S:1:pos:R:3 pbc="T T T"
Hf 0.000 0.000 0.000
Hf 2.227 7.540 0.000
Hf 2.227 -7.540 0.000
Mg 2.227 4.563 1.544
Mg 2.227 -4.563 1.544
Cd 2.227 1.567 1.544
Cd 2.227 -1.567 1.544
```

Properties
Symmetry: Cmmm, No. 65
Density in Mg/m³: 9.2
Total magnetization in μB/atom: 0.010
Electronic total energy in eV per cell: -33.9


The following is a DFT calculation (PBE) of an optimized crystal structure of Hf2MgCd.

Cell and atoms, written as extended XYZ:
```
8
Lattice="4.355 0.000 0.000 0.000 4.268 0.000 0.000 0.000 9.373" Properties=species:S:1:pos:R:3 pbc="T T T"
Hf 1.089 0.000 1.070
Hf 1.089 2.134 8.284
Hf 3.267 0.000 8.303
Hf 3.267 2.134 1.089
Mg 1.089 2.134 3.543
Mg 3.267 2.134 5.830
Cd 1.089 0.000 5.851
Cd 3.267 0.000 3.522
```

Properties
Symmetry: Pmma, No. 51
Density in Mg/m³: 9.4
Total magnetization in μB/atom: 0.001
Electronic total energy in eV per cell: -45.4


The following is a DFT calculation (PBE) of an optimized crystal structure of HfMgCdNi.

Cell and atoms, written as extended XYZ:
```
4
Lattice="0.000 3.237 3.237 3.237 0.000 3.237 3.237 3.237 0.000" Properties=species:S:1:pos:R:3 pbc="T T T"
Hf 0.000 0.000 0.000
Mg 1.618 1.618 1.618
Cd 3.237 3.237 3.237
Ni 4.855 4.855 4.855
```

Properties
Symmetry: F-43m, No. 216
Density in Mg/m³: 9.2
Total magnetization in μB/atom: 0.000
Electronic total energy in eV per cell: -18.2


The following is a DFT calculation (PBE) of an optimized crystal structure of HfMgCdNi.

Cell and atoms, written as extended XYZ:
```
4
Lattice="0.000 3.283 3.283 3.283 0.000 3.283 3.283 3.283 0.000" Properties=species:S:1:pos:R:3 pbc="T T T"
Hf 0.000 0.000 0.000
Mg 1.641 1.641 1.641
Cd 4.924 4.924 4.924
Ni 3.283 3.283 3.283
```

Properties
Symmetry: F-43m, No. 216
Density in Mg/m³: 8.8
Total magnetization in μB/atom: 0.005
Electronic total energy in eV per cell: -17.4


The following is a DFT calculation (PBE) of an optimized crystal structure of HfMgCdNi.

Cell and atoms, written as extended XYZ:
```
4
Lattice="0.000 3.279 3.279 3.279 0.000 3.279 3.279 3.279 0.000" Properties=species:S:1:pos:R:3 pbc="T T T"
Hf 0.000 0.000 0.000
Mg 3.279 3.279 3.279
Cd 1.639 1.639 1.639
Ni 4.918 4.918 4.918
```

Properties
Symmetry: F-43m, No. 216
Density in Mg/m³: 8.8
Total magnetization in μB/atom: 0.000
Electronic total energy in eV per cell: -18.4